Record 1
Here is a relaxed SrLiPS4 crystal from Alexandria. Energies are from PBE.

Properties
DOS at the Fermi energy = 0.0000 states/eV per atom
ρ = 2657 kg/m3
Uncorrected formation energy = -23.9 kcal/mol of atoms

a b c (Å): 6.4401 6.6383 7.7730
angles (deg): 90.00 107.30 90.00
Positions (direct):
Sr: 0.7483 0.7500 0.9408
Sr: 0.2517 0.2500 0.0592
Li: 0.7558 0.7500 0.4552
Li: 0.2442 0.2500 0.5448
P: 0.2257 0.7500 0.3190
P: 0.7743 0.2500 0.6810
S: 0.9815 0.4938 0.7320
S: 0.0185 0.9938 0.2680
S: 0.0185 0.5062 0.2680
S: 0.9815 0.0062 0.7320
S: 0.4020 0.7500 0.1354
S: 0.5980 0.2500 0.8646
S: 0.4225 0.7500 0.5739
S: 0.5775 0.2500 0.4261



Record 2
Here is a relaxed Ac3Ge5Se12 crystal from Alexandria. Energies are from PBE.

Properties
DOS at the Fermi energy = 0.3109 states/eV per atom
ρ = 5728 kg/m3
Uncorrected formation energy = -20.6 kcal/mol of atoms

a b c (Å): 14.4227 14.4227 14.4227
angles (deg): 109.47 109.47 109.47
Positions (direct):
Ac: 0.7500 0.3750 0.1250
Ac: 0.8750 0.7500 0.1250
Ac: 0.3750 0.7500 0.6250
Ac: 0.2500 0.1250 0.3750
Ac: 0.8750 0.1250 0.2500
Ac: 0.3750 0.6250 0.2500
Ac: 0.6250 0.3750 0.7500
Ac: 0.1250 0.8750 0.7500
Ac: 0.7500 0.8750 0.6250
Ac: 0.6250 0.2500 0.3750
Ac: 0.1250 0.2500 0.8750
Ac: 0.2500 0.6250 0.8750
Ge: 0.1250 0.3750 0.2500
Ge: 0.0000 0.5000 0.0000
Ge: 0.0000 0.0000 0.0000
Ge: 0.3750 0.2500 0.1250
Ge: 0.5000 0.0000 0.5000
Ge: 0.5000 0.5000 0.0000
Ge: 0.1250 0.7500 0.3750
Ge: 0.7500 0.1250 0.8750
Ge: 0.7500 0.6250 0.3750
Ge: 0.3750 0.1250 0.7500
Ge: 0.6250 0.8750 0.2500
Ge: 0.5000 0.5000 0.5000
Ge: 0.5000 0.0000 0.0000
Ge: 0.0000 0.0000 0.5000
Ge: 0.2500 0.3750 0.6250
Ge: 0.2500 0.8750 0.1250
Ge: 0.0000 0.5000 0.5000
Ge: 0.8750 0.2500 0.6250
Ge: 0.6250 0.7500 0.8750
Ge: 0.8750 0.6250 0.7500
Se: 0.7093 0.1210 0.0267
Se: 0.3174 0.5267 0.4057
Se: 0.9733 0.3790 0.2907
Se: 0.5267 0.2093 0.1210
Se: 0.5883 0.7093 0.6826
Se: 0.9733 0.5943 0.1826
Se: 0.3174 0.7907 0.4117
Se: 0.0943 0.9117 0.1210
Se: 0.5943 0.9733 0.6826
Se: 0.7093 0.5883 0.1826
Se: 0.7907 0.4733 0.3790
Se: 0.8174 0.9057 0.0267
Se: 0.1210 0.7093 0.5267
Se: 0.3790 0.4057 0.0883
Se: 0.0883 0.9057 0.3790
Se: 0.4117 0.1210 0.5943
Se: 0.0883 0.1826 0.2093
Se: 0.4733 0.6826 0.0943
Se: 0.8174 0.9117 0.2907
Se: 0.1210 0.4117 0.0943
Se: 0.3790 0.9733 0.7907
Se: 0.5943 0.6210 0.4117
Se: 0.9057 0.8174 0.5267
Se: 0.7907 0.3174 0.9117
Se: 0.4057 0.3790 0.5883
Se: 0.0943 0.1826 0.4733
Se: 0.2093 0.6826 0.0883
Se: 0.1826 0.0883 0.7093
Se: 0.6210 0.0267 0.2093
Se: 0.8790 0.5883 0.9057
Se: 0.5267 0.3174 0.9057
Se: 0.5883 0.8790 0.4057
Se: 0.9117 0.8174 0.7907
Se: 0.9117 0.0943 0.6210
Se: 0.8790 0.2907 0.4733
Se: 0.1826 0.0943 0.9733
Se: 0.6210 0.5943 0.9117
Se: 0.4057 0.0267 0.3174
Se: 0.2907 0.4117 0.8174
Se: 0.2093 0.5267 0.6210
Se: 0.9057 0.0883 0.8790
Se: 0.6826 0.2093 0.5883
Se: 0.4733 0.7907 0.8790
Se: 0.0267 0.4057 0.8174
Se: 0.4117 0.2907 0.3174
Se: 0.0267 0.6210 0.7093
Se: 0.6826 0.4733 0.5943
Se: 0.2907 0.8790 0.9733



Record 3
Here is a relaxed La2Tm3Hg2 crystal from Alexandria. Energies are from PBE.

Properties
Uncorrected energy = -3.6253 eV/atom
DOS at the Fermi energy = 1.4125 states/eV per atom
ρ = 9151 kg/m3

a b c (Å): 4.8249 6.4851 8.2322
angles (deg): 113.88 90.00 111.84
Positions (direct):
La: 0.8646 0.7292 0.2123
La: 0.1354 0.2708 0.7877
Tm: 0.5000 0.0000 0.0000
Tm: 0.6297 0.2595 0.4553
Tm: 0.3703 0.7405 0.5447
Hg: 0.8535 0.7069 0.7953
Hg: 0.1465 0.2931 0.2047



Record 4
Here is a relaxed CePrSm6Er2 crystal from Alexandria. Energies are from PBE.

Properties
Uncorrected energy = -4.5709 eV/atom
DOS at the Fermi energy = 2.3237 states/eV per atom
ρ = 7417 kg/m3

a b c (Å): 8.9768 6.8423 6.6516
angles (deg): 120.95 102.06 90.00
Positions (direct):
Ce: 0.0000 0.5000 0.0000
Pr: 0.5000 0.0000 0.0000
Sm: 0.4167 0.6313 0.2625
Sm: 0.1963 0.0700 0.6631
Sm: 0.8037 0.4070 0.3369
Sm: 0.1963 0.5930 0.6631
Sm: 0.8037 0.9300 0.3369
Sm: 0.5833 0.3687 0.7375
Er: 0.1611 0.0912 0.1824
Er: 0.8389 0.9088 0.8176



Record 5
Here is a relaxed Tb3Dy3Ge4 crystal from Alexandria. Energies are from PBE.

Properties
Uncorrected energy = -5.3981 eV/atom
DOS at the Fermi energy = 0.8788 states/eV per atom
ρ = 8469 kg/m3

a b c (Å): 4.2511 7.6076 7.6076
angles (deg): 90.03 90.00 90.00
Positions (direct):
Tb: 0.5000 0.8273 0.1727
Tb: 0.5000 0.3268 0.3271
Tb: 0.5000 0.6729 0.6732
Dy: 0.0000 0.5000 0.0000
Dy: 0.0000 0.0000 0.5000
Dy: 0.5000 0.1730 0.8270
Ge: 0.0000 0.6246 0.3754
Ge: 0.0000 0.3747 0.6253
Ge: 0.0000 0.8760 0.8752
Ge: 0.0000 0.1248 0.1240



Record 6
Here is a relaxed Pr6Y5Ho2 crystal from Alexandria. Energies are from PBE.

Properties
Uncorrected energy = -5.2957 eV/atom
DOS at the Fermi energy = 1.2360 states/eV per atom
ρ = 6000 kg/m3

a b c (Å): 3.6574 11.7694 20.8297
angles (deg): 90.00 90.00 90.00
Positions (direct):
Pr: 0.0000 0.0832 0.3666
Pr: 0.0000 0.9168 0.6334
Pr: 0.0000 0.5832 0.1334
Pr: 0.0000 0.4168 0.8666
Pr: 0.5000 0.3286 0.1360
Pr: 0.5000 0.6714 0.8640
Pr: 0.5000 0.8286 0.3640
Pr: 0.5000 0.1714 0.6360
Pr: 0.0000 0.5627 0.4202
Pr: 0.0000 0.4373 0.5798
Pr: 0.0000 0.0627 0.0798
Pr: 0.0000 0.9373 0.9202
Y: 0.5000 0.3025 0.4429
Y: 0.5000 0.6975 0.5571
Y: 0.5000 0.8025 0.0571
Y: 0.5000 0.1975 0.9429
Y: 0.5000 0.5926 0.2736
Y: 0.5000 0.4074 0.7264
Y: 0.5000 0.0926 0.2264
Y: 0.5000 0.9074 0.7736
Y: 0.5000 0.5000 0.0000
Y: 0.5000 0.0000 0.5000
Ho: 0.0000 0.3341 0.2899
Ho: 0.0000 0.6659 0.7101
Ho: 0.0000 0.8341 0.2101
Ho: 0.0000 0.1659 0.7899



Record 7
Here is a relaxed Tb2DyH crystal from Alexandria. Energies are from PBE.

Properties
Uncorrected energy = -4.1975 eV/atom
DOS at the Fermi energy = 0.9661 states/eV per atom
ρ = 8382 kg/m3

a b c (Å): 3.3568 3.3568 8.4627
angles (deg): 90.00 90.00 90.00
Positions (direct):
H: 0.5000 0.5000 0.0000
Tb: 0.0000 0.0000 0.8080
Tb: 0.0000 0.0000 0.1920
Dy: 0.5000 0.5000 0.5000



Record 8
Here is a relaxed Ac2CdHg16 crystal from Alexandria. Energies are from PBE.

Properties
Uncorrected energy = -0.8948 eV/atom
DOS at the Fermi energy = 0.3711 states/eV per atom
ρ = 12331 kg/m3

a b c (Å): 8.1630 8.1630 8.1630
angles (deg): 77.17 77.17 77.17
Positions (direct):
Ac: 0.6445 0.6445 0.6445
Ac: 0.3239 0.3239 0.3239
Cd: 0.9440 0.9440 0.9440
Hg: 0.6969 0.0016 0.3014
Hg: 0.0016 0.3014 0.6969
Hg: 0.3014 0.6969 0.0016
Hg: 0.0016 0.6969 0.3014
Hg: 0.6969 0.3014 0.0016
Hg: 0.3014 0.0016 0.6969
Hg: 0.3438 0.8981 0.3438
Hg: 0.8981 0.3438 0.3438
Hg: 0.3438 0.3438 0.8981
Hg: 0.6032 0.2276 0.6032
Hg: 0.2276 0.6032 0.6032
Hg: 0.6032 0.6032 0.2276
Hg: 0.9363 0.5794 0.9363
Hg: 0.5794 0.9363 0.9363
Hg: 0.9363 0.9363 0.5794
Hg: 0.1158 0.1158 0.1158



Q: Which value of ρ does entry 3 give?
A: 9151 kg/m3



Q: What is the DOS at the Fermi energy in the first record?
A: 0.0000 states/eV per atom



Q: Look up the ρ of the seventh one.
A: 8382 kg/m3